(1)
VASP calculation (PBE) on a relaxed structure of Si2PIr.

Cell lengths 3.1493, 3.1493, 20.6707 Å; angles 90.00, 90.00, 120.00 degrees
Space group R3m (No. 160, hexagonal axes)
One atom of each set of equivalent atoms:
1 Si 0.0000 0.0000 0.0000 (multiplicity 3)
2 Si 0.0000 0.0000 0.2427 (multiplicity 3)
3 P 0.0000 0.0000 0.5038 (multiplicity 3)
4 Ir 0.0000 0.0000 0.7442 (multiplicity 3)

Raw total energy (eV per cell): -74.58
Size of the total moment (μB per atom): 0.00
Crystal system: trigonal
Density of states at the Fermi level (states/eV per cell): 5.26
Uncorrected formation energy (eV per atom): 0.064

***

(2)
VASP calculation (PBE) on a relaxed structure of Mg4Tl2Cd3.

Cell lengths 4.484, 5.432, 9.734 Å; angles 75.22, 89.95, 67.05 degrees
Space group P-1 (No. 2)
One atom of each set of equivalent atoms:
1 Mg 0.009 0.481 0.335 (multiplicity 2)
2 Mg 0.334 0.826 0.112 (multiplicity 2)
3 Tl 0.330 0.848 0.779 (multiplicity 2)
4 Cd 0.000 0.500 0.000 (multiplicity 1)
5 Cd 0.341 0.813 0.445 (multiplicity 2)

Formation energy from the elements (eV per atom): -0.0408
Raw total energy (eV per cell): -14.22
Size of the total moment (μB per atom): 0.00
Crystal system: triclinic
Density of states at the Fermi level (states/eV per cell): 2.57

***

(3)
VASP calculation (PBE) on a relaxed structure of La4MgMo.

Cell lengths 9.135, 9.135, 9.135 Å; angles 90.00, 90.00, 90.00 degrees
Space group F-43m (No. 216)
One atom of each set of equivalent atoms:
1 La 0.123 0.123 0.377 (multiplicity 16)
2 Mg 0.000 0.000 0.000 (multiplicity 4)
3 Mo 0.250 0.250 0.750 (multiplicity 4)

Formation energy from the elements (eV per atom): 0.7917
Raw total energy (eV per cell): -109.54
Size of the total moment (μB per atom): 0.46
Crystal system: cubic
Density of states at the Fermi level (states/eV per cell): 48.56

***

(4)
VASP calculation (PBE) on a relaxed structure of KSrIn2Pt.

Cell lengths 5.348, 5.348, 5.778 Å; angles 90.00, 90.00, 90.00 degrees
Space group P4/mmm (No. 123)
One atom of each set of equivalent atoms:
1 K 0.000 0.000 0.000 (multiplicity 1)
2 Sr 0.500 0.500 0.000 (multiplicity 1)
3 In 0.000 0.500 0.500 (multiplicity 2)
4 Pt 0.500 0.500 0.500 (multiplicity 1)

Formation energy from the elements (eV per atom): -0.3337
Raw total energy (eV per cell): -15.97
Size of the total moment (μB per atom): 0.00
Crystal system: tetragonal
Density of states at the Fermi level (states/eV per cell): 3.49

***

(5)
VASP calculation (PBE) on a relaxed structure of Ta2NbFe3.

Cell lengths 3.068, 3.068, 9.208 Å; angles 90.00, 90.00, 90.00 degrees
Space group P4/mmm (No. 123)
One atom of each set of equivalent atoms:
1 Ta 0.000 0.000 0.167 (multiplicity 2)
2 Nb 0.000 0.000 0.500 (multiplicity 1)
3 Fe 0.500 0.500 0.000 (multiplicity 1)
4 Fe 0.500 0.500 0.329 (multiplicity 2)

Formation energy from the elements (eV per atom): -0.1174
Raw total energy (eV per cell): -59.87
Size of the total moment (μB per atom): 0.45
Crystal system: tetragonal
Density of states at the Fermi level (states/eV per cell): 5.36

***

(6)
VASP calculation (PBE) on a relaxed structure of TbPrLu.

Cell lengths 5.6743, 5.6743, 3.4858 Å; angles 90.00, 90.00, 120.00 degrees
Space group P-6m2 (No. 187)
One atom of each set of equivalent atoms:
1 Tb 0.0000 0.0000 0.0000 (multiplicity 1)
2 Pr 0.6667 0.3333 0.5000 (multiplicity 1)
3 Lu 0.3333 0.6667 0.0000 (multiplicity 1)

Formation energy from the elements (eV per atom): 0.0795
Raw total energy (eV per cell): -13.69
Size of the total moment (μB per atom): 0.00
Crystal system: hexagonal
Density of states at the Fermi level (states/eV per cell): 4.24